The following is a DFT calculation (PBE-GGA) of crystalline LaAlCl at its relaxed geometry.

Formation energy (no corrections) ... -0.531 eV/atom

```
12
Lattice="6.840 0.000 0.000 0.000 6.840 0.000 0.000 0.000 6.840" Properties=species:S:1:pos:R:3 pbc="T T T"
La 0.000 0.000 0.000
La 0.000 3.420 3.420
La 3.420 0.000 3.420
La 3.420 3.420 0.000
Al 0.000 0.000 3.420
Al 0.000 3.420 0.000
Al 3.420 0.000 0.000
Al 3.420 3.420 3.420
Cl 1.710 1.710 5.130
Cl 1.710 5.130 1.710
Cl 5.130 1.710 1.710
Cl 5.130 5.130 5.130
```